PBE Nb3CdSi, optimized geometry; crystal system = cubic; ΔE to the lowest computed polymorph = 0.000 eV/atom; mass density = 6.7 g cm⁻³; energy relative to the elements, uncorrected = 562.8 meV per atom; D(E_F) = 1.520 states/eV/atom
1.0
4.7070 0.0000 0.0000
0.0000 4.7070 0.0000
0.0000 0.0000 4.7070
Nb Cd Si
3 1 1
Direct
0.0000 0.0000 0.5000
0.0000 0.5000 0.0000
0.5000 0.0000 0.0000
0.5000 0.5000 0.5000
0.0000 0.0000 0.0000